Computed, not measured: an optimized crystal structure of CeMg2Ag at the PBE level of DFT.

Unit cell a=3.0362 b=3.0362 c=11.3469 alpha=82.31 beta=82.31 gamma=60.00
With the nearest neighbours (Å) after each atom.
Positions (direct):
1 Mg 0.0968 0.0968 0.7097  3 Ag 2.93, 6 Mg 3.04, 1 Ce 3.25
2 Mg 0.9032 0.9032 0.2903  3 Ag 2.93, 6 Mg 3.04, 1 Ce 3.25
3 Ag 0.5000 0.5000 0.5000  6 Mg 2.93, 6 Ag 3.04
4 Ce 0.0000 0.0000 0.0000  6 Ce 3.04, 2 Mg 3.25

## Properties
Space group: R-3m (166)
DFT formation energy: 0.08 eV/atom
Total magnetic moment: 0.000 μB/atom

---

Computed, not measured: an optimized crystal structure of ZrFe2Si2 at the PBE level of DFT.

Unit cell a=3.8483 b=3.8483 c=5.4042 alpha=69.14 beta=69.14 gamma=90.00
With the nearest neighbours (Å) after each atom.
Positions (direct):
1 Si 0.3718 0.3718 0.2565  4 Fe 2.24, 1 Si 2.39
2 Si 0.6282 0.6282 0.7435  4 Fe 2.24, 1 Si 2.39
3 Fe 0.7500 0.2500 0.5000  4 Si 2.24
4 Fe 0.2500 0.7500 0.5000  4 Si 2.24
5 Zr 0.0000 0.0000 0.0000  8 Si 2.97, 8 Fe 3.03

## Properties
Formation energy (no corrections): -0.654 eV per atom
Space group: I4/mmm (139)
Total magnetic moment: 0.000 μB/atom

---

Computed, not measured: an optimized crystal structure of RbTe2 at the PBE level of DFT.

Unit cell a=6.7628 b=6.7628 c=6.7628 alpha=60.00 beta=60.00 gamma=60.00
With the nearest neighbours (Å) after each atom.
Positions (direct):
1 Te 0.1250 0.6250 0.6250  6 Te 3.38
2 Te 0.6250 0.1250 0.6250  6 Te 3.38
3 Te 0.6250 0.6250 0.6250  6 Te 3.38
4 Te 0.6250 0.6250 0.1250  6 Te 3.38
5 Rb 0.0000 0.0000 0.0000  12 Te 3.97, 4 Rb 4.14
6 Rb 0.2500 0.2500 0.2500  12 Te 3.97, 4 Rb 4.14

## Properties
Formation energy (no corrections): -0.443 eV per atom
Space group: Fd-3m (227)
Total magnetic moment: 0.000 μB/atom